SrLa2Cd3 | GGA-PBE | relaxed

Its total magnetization is 0.001 Bohr magnetons per cell. The value obtained for the density of states at the Fermi level is 0.893 states/eV/atom. The value obtained for the formation energy from the elements is -0.34 eV/atom.

It has space group P4/mmm (No. 123), with a = 3.963 Å, b = 3.963 Å, c = 12.021 Å, α = 90.00°, β = 90.00° and γ = 90.00°. The inequivalent atoms are Sr at (0.000, 0.000, 0.000), La at (0.000, 0.000, 0.339), Cd at (0.500, 0.500, 0.179) and Cd at (0.500, 0.500, 0.500).

SrLa3Cd2 | GGA-PBE | relaxed

Its total magnetization is 0.000 Bohr magnetons per cell. The value obtained for the density of states at the Fermi level is 1.234 states/eV/atom. The value obtained for the formation energy from the elements is -0.19 eV/atom.

It has space group Pmc2_1 (No. 26), with a = 5.570 Å, b = 10.061 Å, c = 7.285 Å, α = 90.00°, β = 90.00° and γ = 90.00°. The inequivalent atoms are Sr at (0.000, 0.044, 0.000), La at (0.000, 0.333, 0.672), La at (0.500, 0.181, 0.301), La at (0.500, 0.449, 0.973), Cd at (0.000, 0.348, 0.218) and Cd at (0.500, 0.150, 0.753).

What did the second record say?
SrLa3Cd2 | GGA-PBE | relaxed

Its total magnetization is 0.000 Bohr magnetons per cell. The value obtained for the density of states at the Fermi level is 1.234 states/eV/atom. The value obtained for the formation energy from the elements is -0.19 eV/atom.

It has space group Pmc2_1 (No. 26), with a = 5.570 Å, b = 10.061 Å, c = 7.285 Å, α = 90.00°, β = 90.00° and γ = 90.00°. The inequivalent atoms are Sr at (0.000, 0.044, 0.000), La at (0.000, 0.333, 0.672), La at (0.500, 0.181, 0.301), La at (0.500, 0.449, 0.973), Cd at (0.000, 0.348, 0.218) and Cd at (0.500, 0.150, 0.753).

Q: Among the records above, which one has the highest total magnetization?
A: SrLa2Cd3

Q: Which of these has the lowest formation energy from the elements?
A: SrLa2Cd3

Q: Among the records above, which one has the highest formation energy from the elements?
A: SrLa3Cd2